[1]
BaPtO2F GGA-PBE optimized geometry; D(E_F) = 4.41 states/eV/cell; raw total energy = -5.5201 eV/atom
1.0
4.121 0.000 0.000
0.000 4.121 0.000
0.000 0.000 4.494
Ba Pt O F
1 1 2 1
Direct
0.000 0.000 0.000
0.500 0.500 0.500
0.000 0.500 0.500
0.500 0.000 0.500
0.500 0.500 0.000

[2]
BaPtO2F GGA-PBE optimized geometry; D(E_F) = 5.49 states/eV/cell; raw total energy = -3.9936 eV/atom
1.0
4.963 0.000 0.000
0.000 4.963 0.000
0.000 0.000 4.840
Ba Pt O F
1 1 2 1
Direct
0.000 0.000 0.000
0.500 0.500 0.500
0.000 0.500 0.000
0.500 0.000 0.000
0.000 0.000 0.500

[3]
BaPtO2F GGA-PBE optimized geometry; D(E_F) = 6.82 states/eV/cell; raw total energy = -4.3282 eV/atom
1.0
4.807 0.000 0.000
0.000 4.807 0.000
0.000 0.000 3.885
Ba Pt O F
1 1 2 1
Direct
0.000 0.000 0.000
0.500 0.500 0.000
0.000 0.500 0.500
0.500 0.000 0.500
0.500 0.500 0.500

[4]
Ba2PuO3F3 GGA-PBE optimized geometry; D(E_F) = 6.91 states/eV/cell; raw total energy = -7.3953 eV/atom
1.0
6.918 0.000 0.000
-3.459 5.991 0.000
0.000 0.000 3.405
Ba Pu O F
2 1 3 3
Direct
0.333 0.667 0.000
0.667 0.333 0.000
0.000 0.000 0.500
0.000 0.215 0.000
0.215 0.000 0.000
0.785 0.785 0.000
0.000 0.589 0.500
0.411 0.411 0.500
0.589 0.000 0.500

[5]
BaPuO3F GGA-PBE optimized geometry; D(E_F) = 9.41 states/eV/cell; raw total energy = -8.2957 eV/atom
1.0
2.017 -8.383 0.000
2.017 8.383 0.000
0.000 0.000 5.375
Ba Pu O F
2 2 6 2
Direct
0.070 0.930 0.750
0.930 0.070 0.250
0.299 0.701 0.750
0.701 0.299 0.250
0.199 0.801 0.020
0.199 0.801 0.480
0.422 0.578 0.750
0.578 0.422 0.250
0.801 0.199 0.520
0.801 0.199 0.980
0.352 0.648 0.250
0.648 0.352 0.750

[6]
Ba2PuO4F2 GGA-PBE optimized geometry; D(E_F) = 6.33 states/eV/cell; raw total energy = -7.5808 eV/atom
1.0
-3.091 3.091 4.163
3.091 -3.091 4.163
3.091 3.091 -4.163
Ba Pu O F
2 1 4 2
Direct
0.250 0.750 0.500
0.750 0.250 0.500
0.000 0.000 0.000
0.224 0.224 0.448
0.224 0.776 0.000
0.776 0.224 0.000
0.776 0.776 0.552
0.269 0.269 0.000
0.731 0.731 0.000

[7]
Ba3PuO6F2 GGA-PBE optimized geometry; raw total energy = -7.1681 eV/atom
1.0
6.657 -3.674 0.000
6.657 3.674 0.000
-0.092 0.000 5.150
Ba Pu O F
3 1 6 2
Direct
0.000 0.000 0.000
0.000 0.500 0.500
0.500 0.000 0.500
0.500 0.500 0.500
0.236 0.638 0.701
0.362 0.764 0.299
0.371 0.371 0.304
0.629 0.629 0.696
0.638 0.236 0.701
0.764 0.362 0.299
0.176 0.176 0.796
0.824 0.824 0.204

[8]
RbBaO2F GGA-PBE optimized geometry; D(E_F) = 3.31 states/eV/cell; raw total energy = -4.5894 eV/atom
1.0
5.007 0.000 0.000
0.000 5.007 0.000
0.000 0.000 5.172
Rb Ba O F
1 1 2 1
Direct
0.000 0.000 0.000
0.500 0.500 0.500
0.000 0.500 0.500
0.500 0.000 0.500
0.500 0.500 0.000

[9]
RbBaOF2 GGA-PBE optimized geometry; D(E_F) = 0.00 states/eV/cell; distance to the lowest polymorph of the same formula = 344 meV/atom; raw total energy = -4.4016 eV/atom
1.0
4.861 0.000 0.000
0.000 4.861 0.000
0.000 0.000 9.498
Rb Ba O F
1 1 1 2
Direct
0.000 0.000 0.000
0.000 0.000 0.500
0.500 0.500 0.000
0.000 0.500 0.500
0.500 0.000 0.500

[10]
RbBaOF2 GGA-PBE optimized geometry; D(E_F) = 0.70 states/eV/cell; distance to the lowest polymorph of the same formula = 0 meV/atom; raw total energy = -4.7461 eV/atom
1.0
5.134 0.000 0.000
0.000 5.134 0.000
0.000 0.000 4.589
Rb Ba O F
1 1 1 2
Direct
0.000 0.000 0.000
0.500 0.500 0.500
0.500 0.500 0.000
0.000 0.500 0.500
0.500 0.000 0.500

[11]
RbBaO2F GGA-PBE optimized geometry; D(E_F) = 0.47 states/eV/cell; raw total energy = -4.2011 eV/atom
1.0
4.478 0.000 0.000
0.000 4.478 0.000
0.000 0.000 4.914
Rb Ba O F
1 1 2 1
Direct
0.000 0.000 0.000
0.500 0.500 0.500
0.000 0.500 0.000
0.500 0.000 0.000
0.000 0.000 0.500

[12]
RbBaOF2 GGA-PBE optimized geometry; D(E_F) = 0.48 states/eV/cell; distance to the lowest polymorph of the same formula = 434 meV/atom; raw total energy = -4.3119 eV/atom
1.0
4.919 0.000 0.000
0.000 4.919 0.000
0.000 0.000 4.502
Rb Ba O F
1 1 1 2
Direct
0.000 0.000 0.000
0.500 0.500 0.500
0.000 0.000 0.500
0.000 0.500 0.000
0.500 0.000 0.000

[13]
BaReOF2 GGA-PBE optimized geometry; D(E_F) = 2.78 states/eV/cell; distance to the lowest polymorph of the same formula = 0 meV/atom; raw total energy = -6.2536 eV/atom
1.0
4.673 0.000 0.000
0.000 4.673 0.000
0.000 0.000 3.837
Ba Re O F
1 1 1 2
Direct
0.000 0.000 0.000
0.500 0.500 0.500
0.500 0.500 0.000
0.000 0.500 0.500
0.500 0.000 0.500

[14]
Ba2ReO2F4 GGA-PBE optimized geometry; D(E_F) = 3.66 states/eV/cell; raw total energy = -6.3941 eV/atom
1.0
5.049 -3.048 0.000
5.049 3.048 0.000
-0.189 0.000 4.561
Ba Re O F
2 1 2 4
Direct
0.176 0.176 0.276
0.824 0.824 0.724
0.500 0.500 0.000
0.338 0.338 0.775
0.662 0.662 0.225
0.153 0.695 0.224
0.305 0.847 0.776
0.695 0.153 0.224
0.847 0.305 0.776

[15]
BaReOF2 GGA-PBE optimized geometry; D(E_F) = 1.80 states/eV/cell; distance to the lowest polymorph of the same formula = 1128 meV/atom; raw total energy = -5.1260 eV/atom
1.0
4.967 0.000 0.000
0.000 4.967 0.000
0.000 0.000 5.048
Ba Re O F
1 1 1 2
Direct
0.000 0.000 0.000
0.500 0.500 0.500
0.000 0.000 0.500
0.000 0.500 0.000
0.500 0.000 0.000

[16]
BaRuO2F GGA-PBE optimized geometry; D(E_F) = 5.43 states/eV/cell; raw total energy = -4.6526 eV/atom
1.0
4.888 0.000 0.000
0.000 4.888 0.000
0.000 0.000 4.843
Ba Ru O F
1 1 2 1
Direct
0.000 0.000 0.000
0.500 0.500 0.500
0.000 0.500 0.000
0.500 0.000 0.000
0.000 0.000 0.500

[17]
BaRuOF2 GGA-PBE optimized geometry; D(E_F) = 1.66 states/eV/cell; distance to the lowest polymorph of the same formula = 0 meV/atom; raw total energy = -5.8646 eV/atom
1.0
4.443 0.000 0.000
0.000 4.443 0.000
0.000 0.000 4.011
Ba Ru O F
1 1 1 2
Direct
0.000 0.000 0.000
0.500 0.500 0.500
0.500 0.500 0.000
0.000 0.500 0.500
0.500 0.000 0.500

[18]
Ba2RuO4F GGA-PBE optimized geometry; D(E_F) = 4.13 states/eV/cell; raw total energy = -6.4330 eV/atom
1.0
5.005 -1.721 0.000
5.005 1.721 0.000
-3.909 0.000 8.169
Ba Ru O F
2 1 4 1
Direct
0.152 0.152 0.246
0.848 0.848 0.754
0.000 0.000 0.500
0.133 0.133 0.721
0.395 0.395 0.540
0.605 0.605 0.460
0.867 0.867 0.279
0.500 0.500 0.000

[19]
BaRuOF2 GGA-PBE optimized geometry; D(E_F) = 10.50 states/eV/cell; distance to the lowest polymorph of the same formula = 1131 meV/atom; raw total energy = -4.7334 eV/atom
1.0
4.974 0.000 0.000
0.000 4.974 0.000
0.000 0.000 4.813
Ba Ru O F
1 1 1 2
Direct
0.000 0.000 0.000
0.500 0.500 0.500
0.000 0.000 0.500
0.000 0.500 0.000
0.500 0.000 0.000

[20]
BaRuO2F GGA-PBE optimized geometry; D(E_F) = 1.26 states/eV/cell; raw total energy = -6.4358 eV/atom
1.0
4.048 0.000 0.000
0.000 4.048 0.000
0.000 0.000 4.500
Ba Ru O F
1 1 2 1
Direct
0.000 0.000 0.000
0.500 0.500 0.500
0.000 0.500 0.500
0.500 0.000 0.500
0.500 0.500 0.000

[21]
BaSO4F GGA-PBE optimized geometry; D(E_F) = 13.75 states/eV/cell; raw total energy = -5.9180 eV/atom
1.0
5.056 -4.015 0.000
5.056 4.015 0.000
-1.155 0.000 7.002
Ba S O F
2 2 8 2
Direct
0.194 0.194 0.149
0.806 0.806 0.851
0.368 0.368 0.742
0.632 0.632 0.258
0.176 0.477 0.839
0.310 0.310 0.538
0.477 0.176 0.839
0.483 0.483 0.240
0.517 0.517 0.760
0.523 0.824 0.161
0.690 0.690 0.462
0.824 0.523 0.161
0.049 0.049 0.821
0.951 0.951 0.179

[22]
BaSO2F GGA-PBE optimized geometry; D(E_F) = 7.33 states/eV/cell; raw total energy = -3.8140 eV/atom
1.0
5.244 0.000 0.000
0.000 5.244 0.000
0.000 0.000 5.006
Ba S O F
1 1 2 1
Direct
0.000 0.000 0.000
0.500 0.500 0.500
0.000 0.500 0.000
0.500 0.000 0.000
0.000 0.000 0.500

[23]
Ba2SO4F2 GGA-PBE optimized geometry; D(E_F) = 0.00 states/eV/cell; raw total energy = -5.7714 eV/atom
1.0
-2.894 2.894 4.026
2.894 -2.894 4.026
2.894 2.894 -4.026
Ba S O F
2 1 4 2
Direct
0.250 0.750 0.500
0.750 0.250 0.500
0.000 0.000 0.000
0.196 0.196 0.391
0.196 0.804 0.000
0.804 0.196 0.000
0.804 0.804 0.609
0.259 0.259 0.000
0.741 0.741 0.000

[24]
BaSO2F GGA-PBE optimized geometry; D(E_F) = 1.27 states/eV/cell; raw total energy = -5.1326 eV/atom
1.0
3.830 0.000 0.000
0.000 3.830 0.000
0.000 0.000 5.081
Ba S O F
1 1 2 1
Direct
0.000 0.000 0.000
0.500 0.500 0.500
0.000 0.500 0.500
0.500 0.000 0.500
0.500 0.500 0.000

[25]
BaSOF2 GGA-PBE optimized geometry; D(E_F) = 2.58 states/eV/cell; distance to the lowest polymorph of the same formula = 0 meV/atom; raw total energy = -4.6866 eV/atom
1.0
4.806 0.000 0.000
0.000 4.806 0.000
0.000 0.000 3.648
Ba S O F
1 1 1 2
Direct
0.000 0.000 0.000
0.500 0.500 0.500
0.500 0.500 0.000
0.000 0.500 0.500
0.500 0.000 0.500

[26]
BaSOF2 GGA-PBE optimized geometry; D(E_F) = 1.44 states/eV/cell; distance to the lowest polymorph of the same formula = 759 meV/atom; raw total energy = -3.9271 eV/atom
1.0
5.069 0.000 0.000
0.000 5.069 0.000
0.000 0.000 4.611
Ba S O F
1 1 1 2
Direct
0.000 0.000 0.000
0.500 0.500 0.500
0.000 0.000 0.500
0.000 0.500 0.000
0.500 0.000 0.000